Record 1
Compound: LiTl2Ag
Source: Alexandria via LeMat-Bulk
Functional: GGA-PBE
Structure: optimized geometry

abc: 5.8164 5.8164 5.8164
angles: 140.36 132.72 63.35
Atoms (fractional coordinates):
Tl 0.0085 0.0085 0.0000
Tl 0.7448 0.2448 0.5000
Ag 0.4838 0.4838 0.0000
Li 0.2630 0.7630 0.5000

The symmetry is Imm2 (44). Its density of states at the Fermi level is 0.384 states/eV/atom. As for the energy above the most stable polymorph in this dataset: 28 meV/atom.

Record 2
Compound: Pm12Dy2Mg
Source: Alexandria via LeMat-Bulk
Functional: GGA-PBE
Structure: optimized geometry

abc: 6.6208 6.6208 24.2924
angles: 90.00 90.00 90.00
Atoms (fractional coordinates):
Pm 0.5000 0.5000 0.7970
Pm 0.0000 0.0000 0.7970
Pm 0.7622 0.7378 0.9003
Pm 0.2622 0.7622 0.9003
Pm 0.0000 0.0000 0.3283
Pm 0.2378 0.7378 0.0997
Pm 0.8330 0.3330 0.5642
Pm 0.5000 0.5000 0.3283
Pm 0.2378 0.2622 0.9003
Pm 0.7378 0.7622 0.0997
Pm 0.3330 0.1670 0.5642
Pm 0.6670 0.1670 0.4358
Pm 0.0000 0.0000 0.6717
Pm 0.1670 0.3330 0.4358
Pm 0.2622 0.2378 0.0997
Pm 0.8330 0.6670 0.4358
Pm 0.6670 0.8330 0.5642
Pm 0.0000 0.0000 0.2030
Pm 0.1670 0.6670 0.5642
Pm 0.5000 0.5000 0.6717
Pm 0.7378 0.2378 0.9003
Pm 0.5000 0.5000 0.2030
Pm 0.3330 0.8330 0.4358
Pm 0.7622 0.2622 0.0997
Dy 0.5000 0.0000 0.2444
Dy 0.0000 0.5000 0.2444
Dy 0.0000 0.5000 0.7556
Dy 0.5000 0.0000 0.7556
Mg 0.5000 0.0000 0.0000
Mg 0.0000 0.5000 0.0000

The symmetry is P4/nbm (125). Its density of states at the Fermi level is 1.109 states/eV/atom.

Record 3
Compound: MgBe2Fe
Source: Alexandria via LeMat-Bulk
Functional: GGA-PBE
Structure: optimized geometry

abc: 4.5617 4.5617 4.5617
angles: 136.21 136.21 63.66
Each line ends with the local moment (μB).
Atoms (fractional coordinates):
Be 0.0000 0.0000 0.0000  -0.05
Be 0.2500 0.7500 0.5000  -0.02
Mg 0.7500 0.2500 0.5000  -0.01
Fe 0.5000 0.5000 0.0000  1.27

The symmetry is I-4m2 (119). Its density of states at the Fermi level is 0.869 states/eV/atom.

ΔE_f, record by record: -0.033 0.304 0.276 eV/atom